1.
Material: Ba2NpSe2S2
Method: DFT, GGA-PBE
State: optimized geometry

Cell lengths 5.181, 5.181, 9.093 Å; angles 106.55, 106.55, 90.00 degrees
Site moments in Bohr magnetons follow the coordinates.
Element x y z (fractional)
Ba 0.362 0.362 0.725  0.00
Ba 0.638 0.638 0.275  0.00
Np 0.000 0.000 0.000  3.23
Se 0.168 0.168 0.336  -0.07
Se 0.832 0.832 0.664  -0.07
S 0.000 0.500 0.000  -0.09
S 0.500 0.000 0.000  -0.09

Computed properties:
The calculation puts the total energy at -44.14 eV per cell. As for the space group: I4/mmm (139).

2.
Material: AlAsC3
Method: DFT, GGA-PBE
State: optimized geometry

Cell lengths 3.962, 3.962, 3.962 Å; angles 90.00, 90.00, 90.00 degrees
Element x y z (fractional)
C 0.000 0.500 0.000
C 0.000 0.000 0.500
C 0.500 0.000 0.000
As 0.500 0.500 0.500
Al 0.000 0.000 0.000

Computed properties:
For the formation energy from the elements, the calculation gives 2.3963 eV/atom. The calculation puts the total energy at -24.08 eV per cell. As for the space group: Pm-3m (221).

3.
Material: Pm12ZnPb6
Method: DFT, GGA-PBE
State: optimized geometry

Cell lengths 8.936, 8.936, 8.936 Å; angles 99.42, 99.42, 99.42 degrees
Element x y z (fractional)
Pm 0.803 0.580 0.443
Pm 0.443 0.803 0.580
Pm 0.580 0.443 0.803
Pm 0.197 0.420 0.557
Pm 0.557 0.197 0.420
Pm 0.420 0.557 0.197
Pm 0.055 0.981 0.323
Pm 0.019 0.677 0.945
Pm 0.677 0.945 0.019
Pm 0.945 0.019 0.677
Pm 0.981 0.323 0.055
Pm 0.323 0.055 0.981
Zn 0.000 0.000 0.000
Pb 0.684 0.879 0.361
Pb 0.639 0.316 0.121
Pb 0.121 0.639 0.316
Pb 0.316 0.121 0.639
Pb 0.361 0.684 0.879
Pb 0.879 0.361 0.684

Computed properties:
For the formation energy from the elements, the calculation gives -0.2097 eV/atom. The calculation puts the total energy at -84.52 eV per cell. As for the space group: R-3 (148).

4.
Material: BaIrRu3
Method: DFT, GGA-PBE
State: optimized geometry

Cell lengths 4.835, 4.835, 4.835 Å; angles 90.00, 90.00, 90.00 degrees
Site moments in Bohr magnetons follow the coordinates.
Element x y z (fractional)
Ru 0.000 0.500 0.000  0.19
Ru 0.000 0.000 0.500  0.28
Ru 0.500 0.000 0.000  0.16
Ir 0.000 0.000 0.000  -0.02
Ba 0.500 0.500 0.500  -0.01

Computed properties:
For the formation energy from the elements, the calculation gives 1.0747 eV/atom. The calculation puts the total energy at -33.24 eV per cell. As for the space group: Pm-3m (221).

5.
Material: SmEr3Tm3
Method: DFT, GGA-PBE
State: optimized geometry

Cell lengths 17.460, 8.299, 11.006 Å; angles 84.04, 134.26, 121.17 degrees
Element x y z (fractional)
Sm 0.811 0.830 0.870
Sm 0.173 0.233 0.212
Sm 0.814 0.087 0.124
Sm 0.163 0.969 0.944
Er 0.283 0.761 0.268
Er 0.730 0.427 0.986
Er 0.496 0.423 0.212
Er 0.499 0.925 0.715
Er 0.504 0.285 0.508
Er 0.502 0.784 0.005
Er 0.005 0.914 0.333
Er 0.178 0.487 0.466
Er 0.810 0.336 0.371
Er 0.282 0.261 0.765
Er 0.731 0.929 0.483
Er 0.004 0.418 0.826
Tm 0.500 0.677 0.465
Tm 0.498 0.174 0.964
Tm 0.004 0.663 0.078
Tm 0.282 0.007 0.518
Tm 0.730 0.675 0.234
Tm 0.730 0.179 0.732
Tm 0.281 0.512 0.014
Tm 0.504 0.035 0.256
Tm 0.503 0.532 0.756
Tm 0.004 0.171 0.577
Tm 0.175 0.730 0.709
Tm 0.803 0.573 0.611

Computed properties:
For the formation energy from the elements, the calculation gives 0.1210 eV/atom. The calculation puts the total energy at -123.90 eV per cell. As for the space group: P1 (1).

6.
Material: Pr2GaSn3Rh4
Method: DFT, GGA-PBE
State: optimized geometry

Cell lengths 4.468, 4.468, 10.636 Å; angles 90.00, 90.00, 90.00 degrees
Element x y z (fractional)
Pr 0.500 0.000 0.253
Pr 0.000 0.500 0.747
Ga 0.500 0.500 0.500
Sn 0.000 0.000 0.500
Sn 0.500 0.000 0.867
Sn 0.000 0.500 0.133
Rh 0.500 0.500 0.000
Rh 0.000 0.000 0.000
Rh 0.500 0.000 0.625
Rh 0.000 0.500 0.375

Computed properties:
For the formation energy from the elements, the calculation gives -0.7253 eV/atom. The calculation puts the total energy at -61.25 eV per cell. As for the space group: P-4m2 (115).

no.,density of states at the Fermi level (states/eV per cell)
1,9.27
2,2.29
3,21.08
4,6.97
5,39.94
6,7.30